Entry 1:
This record from Alexandria describes an optimized crystal structure of Ho3InS6. The functional is PBE.

Cell lengths 13.455, 16.492, 3.839 Å; angles 90.00, 90.00, 90.00 degrees
Element x y z (fractional)
1 Ho 0.038 0.225 0.251
2 Ho 0.190 0.645 0.250
3 Ho 0.250 0.392 0.250
4 Ho 0.250 0.892 0.750
5 Ho 0.310 0.145 0.750
6 Ho 0.462 0.725 0.749
7 Ho 0.538 0.275 0.749
8 Ho 0.690 0.855 0.750
9 Ho 0.750 0.108 0.750
10 Ho 0.750 0.608 0.250
11 Ho 0.810 0.355 0.250
12 Ho 0.962 0.775 0.251
13 In 0.000 0.000 0.748
14 In 0.000 0.500 0.750
15 In 0.500 0.000 0.250
16 In 0.500 0.500 0.252
17 S 0.020 0.394 0.250
18 S 0.097 0.911 0.250
19 S 0.111 0.119 0.751
20 S 0.114 0.746 0.750
21 S 0.182 0.286 0.750
22 S 0.194 0.521 0.750
23 S 0.306 0.021 0.250
24 S 0.318 0.786 0.250
25 S 0.386 0.246 0.250
26 S 0.389 0.619 0.249
27 S 0.403 0.411 0.750
28 S 0.480 0.894 0.750
29 S 0.520 0.106 0.750
30 S 0.597 0.589 0.750
31 S 0.611 0.381 0.249
32 S 0.614 0.754 0.250
33 S 0.682 0.214 0.250
34 S 0.694 0.979 0.250
35 S 0.806 0.479 0.750
36 S 0.818 0.714 0.750
37 S 0.886 0.254 0.750
38 S 0.889 0.881 0.751
39 S 0.903 0.089 0.250
40 S 0.980 0.606 0.250

Magnetic moment   0.00 μB per cell
Theoretical density   6.25 g/cm³
Raw formation energy   -1.679 eV/atom
Symmetry   P2_12_12 (18)

***

Entry 2:
This record from Alexandria describes an optimized crystal structure of HoIn6S8. The functional is PBE.

Cell lengths 7.164, 7.164, 7.164 Å; angles 94.99, 94.99, 94.99 degrees
Element x y z (fractional)
1 Ho 0.000 0.000 0.000
2 In 0.225 0.338 0.620
3 In 0.338 0.620 0.225
4 In 0.380 0.775 0.662
5 In 0.620 0.225 0.338
6 In 0.662 0.380 0.775
7 In 0.775 0.662 0.380
8 S 0.099 0.832 0.355
9 S 0.168 0.645 0.901
10 S 0.256 0.256 0.256
11 S 0.355 0.099 0.832
12 S 0.645 0.901 0.168
13 S 0.744 0.744 0.744
14 S 0.832 0.355 0.099
15 S 0.901 0.168 0.645

Magnetic moment   0.00 μB per cell
Theoretical density   5.08 g/cm³
Raw formation energy   -0.510 eV/atom
Symmetry   R-3 (148)
DOS(E_F)   0.609 states/eV/atom